Material: NdDy5P6
Method: DFT, PBE
State: relaxed

* Fermi-level density of states: 2.1 states/eV/cell
* formation enthalpy at 0 K: -1.596 eV/atom
* magnetic moment: 0.00 μB/f.u.

Geometry as CIF:
```
data_NdDy5P6
_chemical_formula_sum 'Nd2 Dy10 P12'
_cell_length_a 6.991
_cell_length_b 12.104
_cell_length_c 6.989
_cell_angle_alpha 90.00
_cell_angle_beta 109.49
_cell_angle_gamma 90.00
_space_group_name_H-M_alt 'C 1 2/m 1'
_space_group_IT_number 12
_space_group_name_Hall '-C 2y'
loop_
_atom_site_label
_atom_site_fract_x
_atom_site_fract_y
_atom_site_fract_z
Nd1 0.000 0.000 0.000
Dy1 0.000 0.166 0.500
Dy2 0.000 0.333 0.000
Dy3 0.000 0.500 0.500
P1 0.246 0.331 0.747
P2 0.246 0.500 0.253
```

Material: HfTl2GeN
Method: DFT, PBE
State: relaxed

* formation energy (no corrections): 86.42 kJ/mol of atoms
* Fermi-level density of states: 2.6 states/eV/cell
* magnetic moment: 0.59 μB/f.u.

Geometry as CIF:
```
data_HfTl2GeN
_chemical_formula_sum 'Hf1 Tl2 Ge1 N1'
_cell_length_a 5.774
_cell_length_b 5.774
_cell_length_c 3.524
_cell_angle_alpha 90.00
_cell_angle_beta 90.00
_cell_angle_gamma 90.00
_space_group_name_H-M_alt 'P 4/m m m'
_space_group_IT_number 123
_space_group_name_Hall '-P 4 2'
loop_
_atom_site_label
_atom_site_fract_x
_atom_site_fract_y
_atom_site_fract_z
Hf1 0.000 0.000 0.000
Tl1 0.000 0.500 0.500
Ge1 0.500 0.500 0.500
N1 0.500 0.500 0.000
```

Material: Cd2InAg
Method: DFT, PBE
State: relaxed

* Fermi-level density of states: 3.2 states/eV/cell
* formation enthalpy at 0 K: 0.018 eV/atom
* magnetic moment: 0.00 μB/f.u.

Geometry as CIF:
```
data_Cd2InAg
_chemical_formula_sum 'Cd4 In2 Ag2'
_cell_length_a 3.020
_cell_length_b 5.239
_cell_length_c 11.365
_cell_angle_alpha 90.00
_cell_angle_beta 90.00
_cell_angle_gamma 90.00
_space_group_name_H-M_alt 'I m m m'
_space_group_IT_number 71
_space_group_name_Hall '-I 2 2'
loop_
_atom_site_label
_atom_site_fract_x
_atom_site_fract_y
_atom_site_fract_z
Cd1 0.000 0.000 0.226
In1 0.000 0.500 0.000
Ag1 0.000 0.500 0.500
```

Material: Sc2InTc
Method: DFT, PBE
State: relaxed

* Fermi-level density of states: 6.9 states/eV/cell
* formation enthalpy at 0 K: -0.191 eV/atom
* magnetic moment: 0.00 μB/f.u.

Geometry as CIF:
```
data_Sc2InTc
_chemical_formula_sum 'Sc6 In3 Tc3'
_cell_length_a 3.2508
_cell_length_b 3.2508
_cell_length_c 27.0446
_cell_angle_alpha 90.00
_cell_angle_beta 90.00
_cell_angle_gamma 120.00
_space_group_name_H-M_alt 'R -3 m'
_space_group_IT_number 166
_space_group_name_Hall '-R 3 2"'
loop_
_atom_site_label
_atom_site_fract_x
_atom_site_fract_y
_atom_site_fract_z
Sc1 0.0000 0.0000 0.2384
In1 0.0000 0.0000 0.0000
Tc1 0.0000 0.0000 0.5000
```

Material: Hf3Ag5Se12
Method: DFT, PBE
State: relaxed

* formation energy (no corrections): -36.62 kJ/mol of atoms
* Fermi-level density of states: 105.6 states/eV/cell
* magnetic moment: 0.00 μB/f.u.

Geometry as CIF:
```
data_Hf3Ag5Se12
_chemical_formula_sum 'Hf24 Ag40 Se96'
_cell_length_a 15.694
_cell_length_b 15.694
_cell_length_c 15.694
_cell_angle_alpha 90.00
_cell_angle_beta 90.00
_cell_angle_gamma 90.00
_space_group_name_H-M_alt 'I a -3 d'
_space_group_IT_number 230
_space_group_name_Hall '-I 4bd 2c 3'
loop_
_atom_site_label
_atom_site_fract_x
_atom_site_fract_y
_atom_site_fract_z
Hf1 0.000 0.250 0.125
Ag1 0.000 0.000 0.000
Ag2 0.000 0.250 0.375
Se1 0.015 0.074 0.656
```

Material: TaAl2Rh
Method: DFT, PBE
State: relaxed

* Fermi-level density of states: 10.4 states/eV/cell
* formation enthalpy at 0 K: -0.280 eV/atom
* magnetic moment: 2.02 μB/f.u.

Geometry as CIF:
```
data_TaAl2Rh
_chemical_formula_sum 'Ta4 Al8 Rh4'
_cell_length_a 6.266
_cell_length_b 6.266
_cell_length_c 6.266
_cell_angle_alpha 90.00
_cell_angle_beta 90.00
_cell_angle_gamma 90.00
_space_group_name_H-M_alt 'F m -3 m'
_space_group_IT_number 225
_space_group_name_Hall '-F 4 2 3'
loop_
_atom_site_label
_atom_site_fract_x
_atom_site_fract_y
_atom_site_fract_z
Ta1 0.000 0.000 0.000
Al1 0.250 0.250 0.250
Rh1 0.000 0.000 0.500
```

Material: TbPa2SiC4
Method: DFT, PBE
State: relaxed

* formation energy (no corrections): -25.13 kJ/mol of atoms
* Fermi-level density of states: 8.0 states/eV/cell
* magnetic moment: 0.00 μB/f.u.

Geometry as CIF:
```
data_TbPa2SiC4
_chemical_formula_sum 'Tb4 Pa8 Si4 C16'
_cell_length_a 3.550
_cell_length_b 11.677
_cell_length_c 11.776
_cell_angle_alpha 90.00
_cell_angle_beta 90.00
_cell_angle_gamma 90.00
_space_group_name_H-M_alt 'C m c m'
_space_group_IT_number 63
_space_group_name_Hall '-C 2c 2'
loop_
_atom_site_label
_atom_site_fract_x
_atom_site_fract_y
_atom_site_fract_z
Tb1 0.000 0.102 0.250
Pa1 0.000 0.370 0.051
Si1 0.000 0.167 0.750
C1 0.000 0.000 0.000
C2 0.000 0.267 0.625
C3 0.000 0.422 0.250
```

Material: Ti2ReTc2
Method: DFT, PBE
State: relaxed

* Fermi-level density of states: 11.4 states/eV/cell
* formation enthalpy at 0 K: -0.062 eV/atom
* offset from the most stable computed form: 0 meV/atom
* magnetic moment: 0.00 μB/f.u.

Geometry as CIF:
```
data_Ti2ReTc2
_chemical_formula_sum 'Ti4 Re2 Tc4'
_cell_length_a 3.110
_cell_length_b 16.443
_cell_length_c 3.064
_cell_angle_alpha 90.00
_cell_angle_beta 90.00
_cell_angle_gamma 90.00
_space_group_name_H-M_alt 'C m m m'
_space_group_IT_number 65
_space_group_name_Hall '-C 2 2'
loop_
_atom_site_label
_atom_site_fract_x
_atom_site_fract_y
_atom_site_fract_z
Ti1 0.000 0.095 0.000
Re1 0.000 0.500 0.500
Tc1 0.000 0.307 0.500
```